Entry 1:
Computed, not measured: ScNbHgH2 after structural relaxation at the PBE level of DFT.

The structure in CIF format:
```
data_ScNbHgH2
_chemical_formula_sum 'Sc1 Nb1 Hg1 H2'
_symmetry_space_group_name_H-M 'P 1'
_symmetry_Int_Tables_number 1
_symmetry_space_group_name_Hall 'P 1'
_cell_length_a 3.827
_cell_length_b 5.832
_cell_length_c 3.827
_cell_angle_alpha 90.00
_cell_angle_beta 90.00
_cell_angle_gamma 90.00
loop_
_atom_site_label
_atom_site_type_symbol
_atom_site_fract_x
_atom_site_fract_y
_atom_site_fract_z
Sc1 Sc 0.500 0.500 0.500
H1 H 0.000 0.000 0.500
H2 H 0.500 0.000 0.000
Nb1 Nb 0.000 0.500 0.000
Hg1 Hg 0.000 0.000 0.000
```

Properties
E in eV/cell: -18.63
Space group: P4/mmm

***

Entry 2:
Computed, not measured: ScNb2HgH after structural relaxation at the PBE level of DFT.

The structure in CIF format:
```
data_ScNb2HgH
_chemical_formula_sum 'Sc1 Nb2 Hg1 H1'
_symmetry_space_group_name_H-M 'P 1'
_symmetry_Int_Tables_number 1
_symmetry_space_group_name_Hall 'P 1'
_cell_length_a 4.111
_cell_length_b 4.111
_cell_length_c 4.716
_cell_angle_alpha 90.00
_cell_angle_beta 90.00
_cell_angle_gamma 90.00
loop_
_atom_site_label
_atom_site_type_symbol
_atom_site_fract_x
_atom_site_fract_y
_atom_site_fract_z
Sc1 Sc 0.000 0.000 0.500
H1 H 0.000 0.000 0.000
Nb1 Nb 0.000 0.500 0.000
Nb2 Nb 0.500 0.000 0.000
Hg1 Hg 0.500 0.500 0.500
```

Properties
E in eV/cell: -30.72
Space group: P4/mmm

***

Entry 3:
Computed, not measured: NbHgHSe2 after structural relaxation at the PBE level of DFT.

The structure in CIF format:
```
data_NbHgHSe2
_chemical_formula_sum 'Nb1 Hg1 H1 Se2'
_symmetry_space_group_name_H-M 'P 1'
_symmetry_Int_Tables_number 1
_symmetry_space_group_name_Hall 'P 1'
_cell_length_a 4.925
_cell_length_b 3.563
_cell_length_c 4.925
_cell_angle_alpha 90.00
_cell_angle_beta 90.00
_cell_angle_gamma 90.00
loop_
_atom_site_label
_atom_site_type_symbol
_atom_site_fract_x
_atom_site_fract_y
_atom_site_fract_z
H1 H 0.000 0.000 0.000
Nb1 Nb 0.000 0.500 0.000
Hg1 Hg 0.500 0.500 0.500
Se1 Se 0.000 0.000 0.500
Se2 Se 0.500 0.000 0.000
```

Properties
E in eV/cell: -19.42
Space group: P4/mmm

***

Entry 4:
Computed, not measured: TaNb2HgH after structural relaxation at the PBE level of DFT.

The structure in CIF format:
```
data_TaNb2HgH
_chemical_formula_sum 'Ta1 Nb2 Hg1 H1'
_symmetry_space_group_name_H-M 'P 1'
_symmetry_Int_Tables_number 1
_symmetry_space_group_name_Hall 'P 1'
_cell_length_a 4.193
_cell_length_b 4.193
_cell_length_c 4.314
_cell_angle_alpha 90.00
_cell_angle_beta 90.00
_cell_angle_gamma 90.00
loop_
_atom_site_label
_atom_site_type_symbol
_atom_site_fract_x
_atom_site_fract_y
_atom_site_fract_z
H1 H 0.000 0.000 0.000
Nb1 Nb 0.000 0.500 0.000
Nb2 Nb 0.500 0.000 0.000
Hg1 Hg 0.500 0.500 0.500
Ta1 Ta 0.000 0.000 0.500
```

Properties
E in eV/cell: -35.41
Space group: P4/mmm

***

Entry 5:
Computed, not measured: Ta2NbHgH after structural relaxation at the PBE level of DFT.

The structure in CIF format:
```
data_Ta2NbHgH
_chemical_formula_sum 'Ta2 Nb1 Hg1 H1'
_symmetry_space_group_name_H-M 'P 1'
_symmetry_Int_Tables_number 1
_symmetry_space_group_name_Hall 'P 1'
_cell_length_a 4.275
_cell_length_b 4.275
_cell_length_c 4.137
_cell_angle_alpha 90.00
_cell_angle_beta 90.00
_cell_angle_gamma 90.00
loop_
_atom_site_label
_atom_site_type_symbol
_atom_site_fract_x
_atom_site_fract_y
_atom_site_fract_z
H1 H 0.000 0.000 0.000
Nb1 Nb 0.000 0.000 0.500
Hg1 Hg 0.500 0.500 0.500
Ta1 Ta 0.000 0.500 0.000
Ta2 Ta 0.500 0.000 0.000
```

Properties
E in eV/cell: -36.96
Space group: P4/mmm

***

Entry 6:
Computed, not measured: Nb2TcHgH after structural relaxation at the PBE level of DFT.

The structure in CIF format:
```
data_Nb2TcHgH
_chemical_formula_sum 'Nb2 Tc1 Hg1 H1'
_symmetry_space_group_name_H-M 'P 1'
_symmetry_Int_Tables_number 1
_symmetry_space_group_name_Hall 'P 1'
_cell_length_a 4.179
_cell_length_b 4.179
_cell_length_c 4.115
_cell_angle_alpha 90.00
_cell_angle_beta 90.00
_cell_angle_gamma 90.00
loop_
_atom_site_label
_atom_site_type_symbol
_atom_site_fract_x
_atom_site_fract_y
_atom_site_fract_z
H1 H 0.000 0.000 0.000
Nb1 Nb 0.000 0.500 0.000
Nb2 Nb 0.500 0.000 0.000
Hg1 Hg 0.500 0.500 0.500
Tc1 Tc 0.000 0.000 0.500
```

Properties
E in eV/cell: -33.97
Space group: P4/mmm

***

Entry 7:
Computed, not measured: Nb2VHgH after structural relaxation at the PBE level of DFT.

The structure in CIF format:
```
data_Nb2VHgH
_chemical_formula_sum 'Nb2 V1 Hg1 H1'
_symmetry_space_group_name_H-M 'P 1'
_symmetry_Int_Tables_number 1
_symmetry_space_group_name_Hall 'P 1'
_cell_length_a 4.134
_cell_length_b 4.134
_cell_length_c 4.208
_cell_angle_alpha 90.00
_cell_angle_beta 90.00
_cell_angle_gamma 90.00
loop_
_atom_site_label
_atom_site_type_symbol
_atom_site_fract_x
_atom_site_fract_y
_atom_site_fract_z
H1 H 0.000 0.000 0.000
Nb1 Nb 0.000 0.500 0.000
Nb2 Nb 0.500 0.000 0.000
Hg1 Hg 0.500 0.500 0.500
V1 V 0.000 0.000 0.500
```

Properties
E in eV/cell: -32.60
Space group: P4/mmm

***

Entry 8:
Computed, not measured: Nd3HgH after structural relaxation at the PBE level of DFT.

The structure in CIF format:
```
data_Nd3HgH
_chemical_formula_sum 'Nd3 Hg1 H1'
_symmetry_space_group_name_H-M 'P 1'
_symmetry_Int_Tables_number 1
_symmetry_space_group_name_Hall 'P 1'
_cell_length_a 4.988
_cell_length_b 4.988
_cell_length_c 4.988
_cell_angle_alpha 90.00
_cell_angle_beta 90.00
_cell_angle_gamma 90.00
loop_
_atom_site_label
_atom_site_type_symbol
_atom_site_fract_x
_atom_site_fract_y
_atom_site_fract_z
H1 H 0.000 0.000 0.000
Nd1 Nd 0.000 0.500 0.000
Nd2 Nd 0.000 0.000 0.500
Nd3 Nd 0.500 0.000 0.000
Hg1 Hg 0.500 0.500 0.500
```

Properties
E in eV/cell: -19.33
Space group: Pm-3m
ΔE to the lowest computed polymorph in eV/atom: 0.054